Record 1
First-principles (PBE-GGA) data for an optimized crystal structure of PmGaSi2Rh5, as listed in Alexandria via LeMat-Bulk.

Values from the calculation:
Its uncorrected formation energy is -600 meV/atom. As for the volume: 162.74 Å³ per cell. The density comes out at 8014 kg/m3.

POSCAR file:
```
PmGaSi2Rh5
1.0
4.097 0.000 0.000
0.000 4.097 0.000
0.000 0.000 9.694
Pm Ga Si Rh
1 1 2 5
Direct
0.000 0.000 0.000
0.000 0.000 0.500
0.500 0.500 0.236
0.500 0.500 0.764
0.000 0.500 0.347
0.000 0.500 0.653
0.500 0.000 0.347
0.500 0.000 0.653
0.500 0.500 0.000
```

Record 2
First-principles (PBE-GGA) data for an optimized crystal structure of CuHg2N, as listed in Alexandria via LeMat-Bulk.

Values from the calculation:
Its uncorrected formation energy is 1009 meV/atom. As for the volume: 174.85 Å³ per cell. The density comes out at 9093 kg/m3.

POSCAR file:
```
CuHg2N
1.0
-2.800 2.800 5.577
2.800 -2.800 5.577
2.800 2.800 -5.577
Cu Hg N
2 4 2
Direct
0.000 0.000 0.000
0.750 0.250 0.500
0.196 0.625 0.071
0.375 0.446 0.571
0.554 0.125 0.929
0.875 0.804 0.429
0.250 0.750 0.500
0.500 0.500 0.000
```

Record 3
First-principles (PBE-GGA) data for an optimized crystal structure of K3RbS2O8, as listed in Alexandria via LeMat-Bulk.

Values from the calculation:
Its uncorrected formation energy is -1845 meV/atom. As for the volume: 257.17 Å³ per cell. The density comes out at 2550 kg/m3.

POSCAR file:
```
K3RbS2O8
1.0
5.890 0.000 0.000
-2.945 5.101 0.000
0.000 0.000 8.559
K Rb S O
3 1 2 8
Direct
0.000 0.000 0.000
0.333 0.667 0.737
0.667 0.333 0.263
0.000 0.000 0.500
0.333 0.667 0.209
0.667 0.333 0.791
0.195 0.390 0.268
0.195 0.805 0.268
0.333 0.667 0.036
0.390 0.195 0.732
0.610 0.805 0.268
0.667 0.333 0.964
0.805 0.195 0.732
0.805 0.610 0.732
```